Compound: BaLiMg2Tl5
Source: the Alexandria database
Functional: PBE
Structure: relaxed

Computed properties:
Total moment = 0.00 μB/cell
DOS(E_F) = 3.8 states/eV per cell
E_tot = -19.6 eV per cell

```
BaLiMg2Tl5
1.0
5.051 0.000 0.000
0.000 7.965 0.000
-2.526 -3.983 6.804
Ba Li Mg Tl
1 1 2 5
direct
0.000 0.500 0.000 Ba
0.500 0.000 0.000 Li
0.212 0.212 0.424 Mg
0.788 0.788 0.576 Mg
0.652 0.930 0.305 Tl
0.348 0.070 0.695 Tl
0.348 0.625 0.695 Tl
0.652 0.375 0.305 Tl
0.000 0.000 0.000 Tl
```